# V2AgBN, relaxed, DFT PBE
# ΔE_f (raw): 1.167 eV/atom
# Fermi-level density of states: 4.535 states/eV per cell
# Total energy: -6.0510 eV/atom
# Mass density: 5.6 g/cm3
data_V2AgBN
_chemical_formula_sum 'V2 Ag1 B1 N1'
_cell_length_a 4.118
_cell_length_b 4.118
_cell_length_c 4.082
_cell_angle_alpha 90.00
_cell_angle_beta 90.00
_cell_angle_gamma 90.00
_symmetry_space_group_name_H-M 'P 4/m m m'
_symmetry_Int_Tables_number 123
_symmetry_space_group_name_Hall '-P 4 2'
loop_
_atom_site_label
_atom_site_type_symbol
_atom_site_fract_x
_atom_site_fract_y
_atom_site_fract_z
_atom_site_occupancy
V1 V 0.000 0.500 0.000 1
Ag1 Ag 0.000 0.000 0.500 1
B1 B 0.000 0.000 0.000 1
N1 N 0.500 0.500 0.500 1